[1]
Below is a geometry-optimized K2InMo structure, with properties calculated at the PBE level.

Structure (POSCAR):
```
K2InMo
1.0
3.0508 -5.7241 0.0000
3.0508 5.7241 0.0000
-0.2108 0.0000 3.6322
K In Mo
2 1 1
direct
0.0000 0.5000 0.0000 K
0.5000 0.0000 0.0000 K
0.0000 0.0000 0.5000 In
0.5000 0.5000 0.5000 Mo
```

Values from the calculation:
* density: 3.8 g/cm³


[2]
Below is a geometry-optimized KIn2Mo structure, with properties calculated at the PBE level.

Structure (POSCAR):
```
KIn2Mo
1.0
3.8429 0.0000 0.0000
0.0000 3.8429 0.0000
0.0000 0.0000 8.4531
K In Mo
1 2 1
direct
0.0000 0.0000 0.0000 K
0.0000 0.0000 0.4071 In
0.5000 0.5000 0.6762 In
0.5000 0.5000 0.3559 Mo
```

Values from the calculation:
* density: 4.9 g/cm³


[3]
Below is a geometry-optimized KIn2Mo structure, with properties calculated at the PBE level.

Structure (POSCAR):
```
KIn2Mo
1.0
2.0865 -2.1753 0.0000
2.0865 2.1753 0.0000
0.0000 0.0000 10.2376
K In Mo
1 2 1
direct
0.0000 0.0000 0.0000 K
0.5000 0.5000 0.2873 In
0.5000 0.5000 0.7127 In
0.0000 0.0000 0.5000 Mo
```

Values from the calculation:
* density: 6.5 g/cm³


Number 1: calculated formation energy 4.18 eV/f.u.. Number 2: calculated formation energy 2.42 eV/f.u.. Number 3: calculated formation energy 1.34 eV/f.u..